1 | The following is a DFT calculation (PBE) of a relaxed structure of Hf3BiPd.

Cell: 5.2846 5.2846 5.2846 Å, 90.00 90.00 90.00°
Last column: nearest neighbours and their distance in Å.
Positions (direct):
Hf  0.0000  0.0000  0.5000  2 Bi 2.64
Hf  0.0000  0.5000  0.0000  2 Bi 2.64
Hf  0.5000  0.0000  0.0000  2 Bi 2.64
Bi  0.0000  0.0000  0.0000  6 Hf 2.64
Pd  0.5000  0.5000  0.5000  12 Hf 3.74

Summary:
Its space-group type is Pm-3m.


2 | The following is a DFT calculation (PBE) of a relaxed structure of Hf3BiPd.

Cell: 5.0570 5.0570 5.0570 Å, 90.00 90.00 90.00°
Last column: nearest neighbours and their distance in Å.
Positions (direct):
Hf  0.0000  0.0000  0.5000  2 Pd 2.53
Hf  0.0000  0.5000  0.0000  2 Pd 2.53
Hf  0.5000  0.0000  0.0000  2 Pd 2.53
Bi  0.5000  0.5000  0.5000  12 Hf 3.58
Pd  0.0000  0.0000  0.0000  6 Hf 2.53

Summary:
Its space-group type is Pm-3m.


The most stable arrangement is 2, and the next structure is 1236 meV/atom less stable.


1 | The following is a DFT calculation (PBE) of a relaxed structure of PmHfBi.

Cell: 5.2429 5.2429 3.5546 Å, 90.00 90.00 120.00°
Last column: nearest neighbours and their distance in Å.
Positions (direct):
Pm  0.0000  0.0000  0.0000  6 Hf 3.51, 6 Bi 3.51, 2 Pm 3.55
Hf  0.6667  0.3333  0.5000  3 Bi 3.03
Bi  0.3333  0.6667  0.5000  3 Hf 3.03

Summary:
Its space-group type is P-6m2.


2 | The following is a DFT calculation (PBE) of a relaxed structure of PmHfBi.

Cell: 4.2864 4.2864 9.7053 Å, 90.00 90.00 90.00°
Last column: nearest neighbours and their distance in Å.
Positions (direct):
Pm  0.2500  0.2500  0.2263  5 Bi 3.19-3.39, 1 Hf 3.27
Pm  0.7500  0.7500  0.7737  5 Bi 3.19-3.39, 1 Hf 3.27
Hf  0.2500  0.2500  0.5636  1 Bi 3.04, 4 Hf 3.27, 1 Pm 3.27
Hf  0.7500  0.7500  0.4364  1 Bi 3.04, 4 Hf 3.27, 1 Pm 3.27
Bi  0.2500  0.2500  0.8773  1 Hf 3.04, 5 Pm 3.19-3.39
Bi  0.7500  0.7500  0.1227  1 Hf 3.04, 5 Pm 3.19-3.39

Summary:
Its space-group type is P4/nmm.


The most stable arrangement is 2, and the next structure is 139 meV/atom less stable.


1 | The following is a DFT calculation (PBE) of a relaxed structure of PrHfBi2.

Cell: 11.7088 11.7088 11.7088 Å, 16.99 16.99 16.99°
Last column: nearest neighbours and their distance in Å.
Positions (direct):
Pr  0.0000  0.0000  0.0000  2 Bi 3.35, 6 Pr 3.46
Hf  0.5000  0.5000  0.5000  6 Bi 3.14, 6 Hf 3.46
Bi  0.0968  0.0968  0.0968  3 Hf 3.14, 1 Pr 3.35, 6 Bi 3.46
Bi  0.9032  0.9032  0.9032  3 Hf 3.14, 1 Pr 3.35, 6 Bi 3.46

Summary:
Its space-group type is R-3m.


2 | The following is a DFT calculation (PBE) of a relaxed structure of PrHfBi2.

Cell: 3.6948 3.6948 8.1281 Å, 90.00 90.00 90.00°
Last column: nearest neighbours and their distance in Å.
Positions (direct):
Pr  0.0000  0.0000  0.0000  8 Bi 3.46, 4 Pr 3.69
Hf  0.0000  0.0000  0.5000  8 Bi 3.17
Bi  0.5000  0.5000  0.2796  4 Hf 3.17, 4 Pr 3.46
Bi  0.5000  0.5000  0.7204  4 Hf 3.17, 4 Pr 3.46

Summary:
Its space-group type is P4/mmm.


The most stable arrangement is 2, and the next structure is 301 meV/atom less stable.


1 | The following is a DFT calculation (PBE) of a relaxed structure of PuHf2Bi.

Cell: 5.1066 5.1066 5.1066 Å, 60.00 60.00 60.00°
Last column: nearest neighbours and their distance in Å.
Positions (direct):
Pu  0.0000  0.0000  0.0000  8 Hf 3.13
Hf  0.2500  0.2500  0.2500  4 Bi 3.13, 4 Pu 3.13
Hf  0.7500  0.7500  0.7500  4 Bi 3.13, 4 Pu 3.13
Bi  0.5000  0.5000  0.5000  8 Hf 3.13

Summary:
Its space-group type is Fm-3m.


2 | The following is a DFT calculation (PBE) of a relaxed structure of PuHf2Bi.

Cell: 4.6301 4.6301 4.4233 Å, 90.00 90.00 90.00°
Last column: nearest neighbours and their distance in Å.
Positions (direct):
Pu  0.0000  0.0000  0.0000  8 Hf 3.20, 4 Bi 3.27
Hf  0.0000  0.5000  0.5000  4 Bi 3.20, 4 Pu 3.20, 4 Hf 3.27
Hf  0.5000  0.0000  0.5000  4 Bi 3.20, 4 Pu 3.20, 4 Hf 3.27
Bi  0.5000  0.5000  0.0000  8 Hf 3.20, 4 Pu 3.27

Summary:
Its space-group type is P4/mmm.


The most stable arrangement is 2, and the next structure is 161 meV/atom less stable.


1 | The following is a DFT calculation (PBE) of a relaxed structure of PuHfBi.

Cell: 3.5335 3.5335 14.8891 Å, 91.43 91.43 56.89°
Last column: nearest neighbours and their distance in Å.
Positions (direct):
Pu  0.1585  0.1585  0.4607  3 Pu 2.32-2.33
Pu  0.8415  0.8415  0.5393  3 Pu 2.32-2.33
Hf  0.1441  0.1441  0.7016  3 Pu 3.02-3.22, 3 Bi 3.22-3.28, 2 Hf 3.37
Hf  0.8559  0.8559  0.2984  3 Pu 3.02-3.22, 3 Bi 3.22-3.28, 2 Hf 3.37
Bi  0.1785  0.1785  0.1276  3 Hf 3.22-3.28, 6 Bi 3.37-3.53
Bi  0.8215  0.8215  0.8724  3 Hf 3.22-3.28, 6 Bi 3.37-3.53

Summary:
Its space-group type is C2/m.


2 | The following is a DFT calculation (PBE) of a relaxed structure of PuHfBi.

Cell: 5.2272 5.2272 3.3573 Å, 90.00 90.00 120.00°
Last column: nearest neighbours and their distance in Å.
Positions (direct):
Pu  0.0000  0.0000  0.0000  2 Pu 3.36, 6 Hf 3.45, 6 Bi 3.45
Hf  0.6667  0.3333  0.5000  3 Bi 3.02, 2 Hf 3.36
Bi  0.3333  0.6667  0.5000  3 Hf 3.02, 2 Bi 3.36

Summary:
Its space-group type is P-6m2.


The most stable arrangement is 1, and the next structure is 26 meV/atom less stable.


1 | The following is a DFT calculation (PBE) of a relaxed structure of RbHfBi2.

Cell: 9.9036 9.9036 9.9036 Å, 137.82 137.82 61.19°
Last column: nearest neighbours and their distance in Å.
Positions (direct):
Rb  0.0000  0.0000  0.0000  8 Bi 4.47-4.57
Rb  0.7500  0.2500  0.5000  8 Bi 4.47-4.57
Hf  0.2500  0.7500  0.5000  4 Bi 2.78
Hf  0.5000  0.5000  0.0000  4 Bi 2.78
Bi  0.3665  0.6250  0.2415  2 Hf 2.78
Bi  0.3750  0.6165  0.7415  2 Hf 2.78
Bi  0.3835  0.1250  0.7585  2 Hf 2.78
Bi  0.8750  0.6335  0.2585  2 Hf 2.78

Summary:
Its space-group type is I-42d.


2 | The following is a DFT calculation (PBE) of a relaxed structure of RbHfBi2.

Cell: 3.5427 3.5427 9.8023 Å, 90.00 90.00 90.00°
Last column: nearest neighbours and their distance in Å.
Positions (direct):
Rb  0.0000  0.0000  0.0000  4 Rb 3.54, 8 Bi 3.83
Hf  0.0000  0.0000  0.5000  8 Bi 3.20, 4 Hf 3.54
Bi  0.5000  0.5000  0.2961  4 Hf 3.20, 4 Bi 3.54
Bi  0.5000  0.5000  0.7039  4 Hf 3.20, 4 Bi 3.54

Summary:
Its space-group type is P4/mmm.


The most stable arrangement is 2, and the next structure is 239 meV/atom less stable.


1 | The following is a DFT calculation (PBE) of a relaxed structure of RbHfBi2.

Cell: 9.8150 9.8150 9.8150 Å, 24.08 24.08 24.08°
Last column: nearest neighbours and their distance in Å.
Positions (direct):
Rb  0.0000  0.0000  0.0000  6 Bi 3.71-3.75, 6 Rb 4.09
Hf  0.8320  0.8320  0.8320  6 Bi 3.01-3.03
Bi  0.2316  0.2316  0.2316  3 Hf 3.03
Bi  0.4333  0.4333  0.4333  3 Hf 3.01

Summary:
Its space-group type is R3m.


2 | The following is a DFT calculation (PBE) of a relaxed structure of RbHfBi2.

Cell: 11.1474 11.1474 11.1474 Å, 20.97 20.97 20.97°
Last column: nearest neighbours and their distance in Å.
Positions (direct):
Rb  0.0000  0.0000  0.0000  2 Bi 3.55
Hf  0.5000  0.5000  0.5000  6 Bi 3.02
Bi  0.1086  0.1086  0.1086  3 Hf 3.02
Bi  0.8914  0.8914  0.8914  3 Hf 3.02

Summary:
Its space-group type is R-3m.


3 | The following is a DFT calculation (PBE) of a relaxed structure of RbHfBi2.

Cell: 5.5561 5.5561 5.5561 Å, 60.00 60.00 60.00°
Last column: nearest neighbours and their distance in Å.
Positions (direct):
Rb  0.0000  0.0000  0.0000  8 Bi 3.40
Hf  0.5000  0.5000  0.5000  8 Bi 3.40
Bi  0.2500  0.2500  0.2500  4 Hf 3.40, 4 Rb 3.40
Bi  0.7500  0.7500  0.7500  4 Hf 3.40, 4 Rb 3.40

Summary:
Its space-group type is Fm-3m.


The most stable arrangement is 1, and the next structure is 189 meV/atom less stable.


1 | The following is a DFT calculation (PBE) of a relaxed structure of Hf3ReBi.

Cell: 5.0730 5.0730 5.0730 Å, 90.00 90.00 90.00°
Last column: nearest neighbours and their distance in Å.
Positions (direct):
Hf  0.0000  0.0000  0.5000  2 Re 2.54
Hf  0.0000  0.5000  0.0000  2 Re 2.54
Hf  0.5000  0.0000  0.0000  2 Re 2.54
Re  0.0000  0.0000  0.0000  6 Hf 2.54
Bi  0.5000  0.5000  0.5000  12 Hf 3.59

Summary:
Its space-group type is Pm-3m.


2 | The following is a DFT calculation (PBE) of a relaxed structure of Hf3ReBi.

Cell: 5.2117 5.2117 5.2117 Å, 90.00 90.00 90.00°
Last column: nearest neighbours and their distance in Å.
Positions (direct):
Hf  0.0000  0.0000  0.5000  2 Bi 2.61
Hf  0.0000  0.5000  0.0000  2 Bi 2.61
Hf  0.5000  0.0000  0.0000  2 Bi 2.61
Re  0.5000  0.5000  0.5000  12 Hf 3.69
Bi  0.0000  0.0000  0.0000  6 Hf 2.61

Summary:
Its space-group type is Pm-3m.


The most stable arrangement is 1, and the next structure is 1590 meV/atom less stable.


1 | The following is a DFT calculation (PBE) of a relaxed structure of HfReBi2.

Cell: 4.9796 4.9796 4.9796 Å, 60.00 60.00 60.00°
Last column: nearest neighbours and their distance in Å.
Positions (direct):
Hf  0.0000  0.0000  0.0000  8 Bi 3.05
Re  0.5000  0.5000  0.5000  8 Bi 3.05
Bi  0.2500  0.2500  0.2500  4 Re 3.05, 4 Hf 3.05
Bi  0.7500  0.7500  0.7500  4 Re 3.05, 4 Hf 3.05

Summary:
Its space-group type is Fm-3m.


2 | The following is a DFT calculation (PBE) of a relaxed structure of HfReBi2.

Cell: 10.7123 10.7123 10.7123 Å, 156.57 156.57 33.38°
Last column: nearest neighbours and their distance in Å.
Positions (direct):
Hf  0.0000  0.0000  0.0000  4 Bi 3.00, 4 Re 3.08
Hf  0.7500  0.2500  0.5000  4 Bi 3.00, 4 Re 3.08
Re  0.2500  0.7500  0.5000  4 Bi 2.98, 4 Hf 3.08
Re  0.5000  0.5000  0.0000  4 Bi 2.98, 4 Hf 3.08
Bi  0.1331  0.6250  0.0081  2 Re 2.98, 2 Hf 3.00, 4 Bi 3.03-3.13
Bi  0.3750  0.3831  0.5081  2 Re 2.98, 2 Hf 3.00, 4 Bi 3.03-3.13
Bi  0.6169  0.1250  0.9919  2 Re 2.98, 2 Hf 3.00, 4 Bi 3.03-3.13
Bi  0.8750  0.8669  0.4919  2 Re 2.98, 2 Hf 3.00, 4 Bi 3.03-3.13

Summary:
Its space-group type is I-42d.


The most stable arrangement is 1, and the next structure is 188 meV/atom less stable.


1 | The following is a DFT calculation (PBE) of a relaxed structure of HfRe2Bi2.

Cell: 9.7828 9.7828 9.7828 Å, 159.19 159.19 29.59°
Last column: nearest neighbours and their distance in Å.
Positions (direct):
Hf  0.0000  0.0000  0.0000  8 Bi 3.26, 4 Hf 3.53
Re  0.2500  0.7500  0.5000  4 Re 2.50
Re  0.7500  0.2500  0.5000  4 Re 2.50
Bi  0.3892  0.3892  0.0000  4 Re 3.17, 4 Hf 3.26, 4 Bi 3.53
Bi  0.6108  0.6108  0.0000  4 Re 3.17, 4 Hf 3.26, 4 Bi 3.53

Summary:
Its space-group type is I4/mmm.


2 | The following is a DFT calculation (PBE) of a relaxed structure of HfRe2Bi2.

Cell: 8.0311 8.0311 3.2020 Å, 90.00 90.00 90.00°
Last column: nearest neighbours and their distance in Å.
Positions (direct):
Hf  0.0000  0.0000  0.0000  4 Bi 3.05, 2 Hf 3.20
Hf  0.5000  0.5000  0.0000  4 Bi 3.05, 2 Hf 3.20
Re  0.1441  0.3559  0.5000  6 Bi 2.81-2.87
Re  0.3559  0.8559  0.5000  6 Bi 2.81-2.87
Re  0.6441  0.1441  0.5000  6 Bi 2.81-2.87
Re  0.8559  0.6441  0.5000  6 Bi 2.81-2.87
Bi  0.1524  0.6524  0.0000  6 Re 2.81-2.87, 2 Hf 3.05
Bi  0.3476  0.1524  0.0000  6 Re 2.81-2.87, 2 Hf 3.05
Bi  0.6524  0.8476  0.0000  6 Re 2.81-2.87, 2 Hf 3.05
Bi  0.8476  0.3476  0.0000  6 Re 2.81-2.87, 2 Hf 3.05

Summary:
Its space-group type is P4/mbm.


The most stable arrangement is 1, and the next structure is 130 meV/atom less stable.


1 | The following is a DFT calculation (PBE) of a relaxed structure of HfBi3Rh.

Cell: 5.2640 5.2640 5.2640 Å, 90.00 90.00 90.00°
Last column: nearest neighbours and their distance in Å.
Positions (direct):
Hf  0.0000  0.0000  0.0000  12 Bi 3.72
Bi  0.0000  0.5000  0.5000  2 Rh 2.63
Bi  0.5000  0.0000  0.5000  2 Rh 2.63
Bi  0.5000  0.5000  0.0000  2 Rh 2.63
Rh  0.5000  0.5000  0.5000  6 Bi 2.63

Summary:
Its space-group type is Pm-3m.


2 | The following is a DFT calculation (PBE) of a relaxed structure of HfBi3Rh.

Cell: 5.5453 5.5453 5.5453 Å, 90.00 90.00 90.00°
Last column: nearest neighbours and their distance in Å.
Positions (direct):
Hf  0.0000  0.0000  0.0000  6 Bi 2.77
Bi  0.0000  0.0000  0.5000  2 Hf 2.77
Bi  0.0000  0.5000  0.0000  2 Hf 2.77
Bi  0.5000  0.0000  0.0000  2 Hf 2.77
Rh  0.5000  0.5000  0.5000  12 Bi 3.92

Summary:
Its space-group type is Pm-3m.


The most stable arrangement is 1, and the next structure is 317 meV/atom less stable.


1 | The following is a DFT calculation (PBE) of a relaxed structure of Hf2BiRh2.

Cell: 7.7879 7.7879 3.2267 Å, 90.00 90.00 90.00°
Last column: nearest neighbours and their distance in Å.
Positions (direct):
Hf  0.1547  0.3453  0.0000  6 Rh 2.76-2.85
Hf  0.3453  0.8453  0.0000  6 Rh 2.76-2.85
Hf  0.6547  0.1547  0.0000  6 Rh 2.76-2.85
Hf  0.8453  0.6547  0.0000  6 Rh 2.76-2.85
Bi  0.0000  0.0000  0.5000  4 Rh 3.05, 2 Bi 3.23, 8 Hf 3.36
Bi  0.5000  0.5000  0.5000  4 Rh 3.05, 2 Bi 3.23, 8 Hf 3.36
Rh  0.1319  0.6319  0.5000  6 Hf 2.76-2.85, 1 Rh 2.91, 2 Bi 3.05
Rh  0.3681  0.1319  0.5000  6 Hf 2.76-2.85, 1 Rh 2.91, 2 Bi 3.05
Rh  0.6319  0.8681  0.5000  6 Hf 2.76-2.85, 1 Rh 2.91, 2 Bi 3.05
Rh  0.8681  0.3681  0.5000  6 Hf 2.76-2.85, 1 Rh 2.91, 2 Bi 3.05

Summary:
Its space-group type is P4/mbm.


2 | The following is a DFT calculation (PBE) of a relaxed structure of Hf2BiRh2.

Cell: 8.0039 8.0039 3.1334 Å, 90.00 90.00 90.00°
Last column: nearest neighbours and their distance in Å.
Positions (direct):
Hf  0.1486  0.3514  0.0000  6 Rh 2.76-2.91, 2 Bi 3.05
Hf  0.3514  0.8514  0.0000  6 Rh 2.76-2.91, 2 Bi 3.05
Hf  0.6486  0.1486  0.0000  6 Rh 2.76-2.91, 2 Bi 3.05
Hf  0.8514  0.6486  0.0000  6 Rh 2.76-2.91, 2 Bi 3.05
Bi  0.0000  0.0000  0.0000  4 Hf 3.05, 2 Bi 3.13
Bi  0.5000  0.5000  0.0000  4 Hf 3.05, 2 Bi 3.13
Rh  0.1349  0.6349  0.5000  6 Hf 2.76-2.91, 1 Rh 3.05
Rh  0.3651  0.1349  0.5000  6 Hf 2.76-2.91, 1 Rh 3.05
Rh  0.6349  0.8651  0.5000  6 Hf 2.76-2.91, 1 Rh 3.05
Rh  0.8651  0.3651  0.5000  6 Hf 2.76-2.91, 1 Rh 3.05

Summary:
Its space-group type is P4/mbm.


3 | The following is a DFT calculation (PBE) of a relaxed structure of Hf2BiRh2.

Cell: 6.3005 6.3005 6.3005 Å, 138.60 138.60 59.99°
Last column: nearest neighbours and their distance in Å.
Positions (direct):
Hf  0.2500  0.7500  0.5000  4 Rh 2.65
Hf  0.7500  0.2500  0.5000  4 Rh 2.65
Bi  0.0000  0.0000  0.0000  8 Rh 3.41, 8 Hf 3.52
Rh  0.3810  0.3810  0.0000  1 Rh 2.60, 4 Hf 2.65
Rh  0.6190  0.6190  0.0000  1 Rh 2.60, 4 Hf 2.65

Summary:
Its space-group type is I4/mmm.


The most stable arrangement is 1, and the next structure is 169 meV/atom less stable.